# 1
Entry from Alexandria: crystalline VH2Rh at its relaxed geometry (PBE).

**Total moment**: 0.0 μB/f.u.
**SG**: No. 160
**Relative energy among the computed polymorphs**: 55 meV/atom

Cell lengths 2.821, 2.821, 5.776 Å; angles 60.79, 60.79, 60.01 degrees
Atoms (fractional coordinates):
V 0.550 0.550 0.488
H 0.045 0.045 0.745
H 0.329 0.329 0.318
Rh 0.576 0.576 0.949

=====

# 2
Entry from Alexandria: crystalline VH3Rh at its relaxed geometry (PBE).

**Total moment**: 2.4 μB/f.u.
**SG**: No. 221
**Electronic total energy**: -5.266 eV per atom

Cell lengths 3.436, 3.436, 3.436 Å; angles 90.00, 90.00, 90.00 degrees
Atoms (fractional coordinates):
H 0.000 0.500 0.000
H 0.000 0.000 0.500
H 0.500 0.000 0.000
Rh 0.000 0.000 0.000
V 0.500 0.500 0.500

=====

# 3
Entry from Alexandria: crystalline VH4Rh4 at its relaxed geometry (PBE).

**Total moment**: 0.0 μB/f.u.
**SG**: No. 12
**Electronic total energy**: -5.881 eV per atom

Cell lengths 2.812, 4.883, 6.288 Å; angles 74.71, 77.08, 73.27 degrees
Atoms (fractional coordinates):
V 0.500 0.000 0.000
H 0.299 0.089 0.313
H 0.701 0.911 0.687
H 0.901 0.303 0.894
H 0.099 0.697 0.106
Rh 0.705 0.392 0.197
Rh 0.907 0.795 0.390
Rh 0.295 0.608 0.803
Rh 0.093 0.205 0.610

=====

# 4
Entry from Alexandria: crystalline VH4Rh5 at its relaxed geometry (PBE).

**Total moment**: 0.0 μB/f.u.
**SG**: No. 12
**Electronic total energy**: -6.030 eV per atom

Cell lengths 2.822, 5.590, 6.238 Å; angles 103.36, 103.07, 90.00 degrees
Atoms (fractional coordinates):
V 0.500 0.000 0.000
H 0.324 0.891 0.649
H 0.999 0.750 0.998
H 0.676 0.109 0.351
H 0.001 0.250 0.002
Rh 0.838 0.668 0.676
Rh 0.839 0.169 0.679
Rh 0.161 0.831 0.321
Rh 0.500 0.500 0.000
Rh 0.162 0.332 0.324

=====

# 5
Entry from Alexandria: crystalline VH2Rh at its relaxed geometry (PBE).

**Total moment**: 1.0 μB/f.u.
**SG**: No. 122
**Relative energy among the computed polymorphs**: 112 meV/atom

Cell lengths 4.095, 4.095, 5.033 Å; angles 65.99, 65.99, 90.00 degrees
Atoms (fractional coordinates):
H 0.628 0.125 0.250
H 0.122 0.625 0.250
H 0.375 0.372 0.750
H 0.875 0.878 0.750
Rh 0.000 0.000 0.000
Rh 0.750 0.250 0.500
V 0.500 0.500 0.000
V 0.250 0.750 0.500

=====

# 6
Entry from Alexandria: crystalline VH2Rh3 at its relaxed geometry (PBE).

**Total moment**: 0.0 μB/f.u.
**SG**: No. 12
**Electronic total energy**: -6.481 eV per atom

Cell lengths 2.786, 6.140, 7.386 Å; angles 85.40, 79.13, 76.89 degrees
Atoms (fractional coordinates):
V 0.436 0.441 0.688
V 0.564 0.559 0.312
H 0.879 0.363 0.879
H 0.121 0.637 0.121
H 0.629 0.099 0.643
H 0.371 0.901 0.357
Rh 0.062 0.064 0.813
Rh 0.938 0.936 0.187
Rh 0.695 0.683 0.926
Rh 0.305 0.317 0.074
Rh 0.832 0.779 0.557
Rh 0.168 0.221 0.443